Entry 1:
Material: PmTiPd2
Method: DFT, PBE-GGA
State: optimized geometry

Geometry as POSCAR:
```
PmTiPd2
1.0
2.224 1.284 4.887
-2.224 1.284 4.887
0.000 -2.568 4.887
Pm Ti Pd
1 1 2
direct
0.000 0.000 0.000 Pm
0.500 0.500 0.500 Ti
0.211 0.211 0.211 Pd
0.789 0.789 0.789 Pd
```

Summary:
* polymorph energy (0 for the lowest one): 0 kJ/mol of formula units
* symmetry: R-3m (166)
* crystal system: trigonal
* total DFT energy (no corrections): -6.35 eV/atom
* N(E_F): 4.4 states/eV/f.u.
* size of the total moment: 0.00 μB per cell

***

Entry 2:
Material: PmTiPd2
Method: DFT, PBE-GGA
State: optimized geometry

Geometry as POSCAR:
```
PmTiPd2
1.0
4.875 0.000 0.000
0.000 4.875 0.000
0.000 0.000 3.294
Pm Ti Pd
1 1 2
direct
0.000 0.000 0.000 Pm
0.500 0.500 0.000 Ti
0.000 0.500 0.500 Pd
0.500 0.000 0.500 Pd
```

Summary:
* polymorph energy (0 for the lowest one): 48 kJ/mol of formula units
* symmetry: P4/mmm (123)
* crystal system: tetragonal
* total DFT energy (no corrections): -6.23 eV/atom
* N(E_F): 4.4 states/eV/f.u.
* size of the total moment: 0.94 μB per cell